No. 1
A relaxed structure of Pu2CoSi6Ru. Source: Alexandria, functional PBE-GGA.

For the final energy, the calculation gives -163.31 eV/cell. The value obtained for the formation energy without anion corrections is -0.41 eV/atom. For the total magnetic moment, the calculation gives 10.52 μB per formula unit. The crystal system is trigonal.

```
Pu2CoSi6Ru
1.0
-2.019 0.673 5.383
-4.924 -2.594 1.589
3.821 -10.149 5.814
Si Pu Ru Co
12 4 2 2
Cartesian
-2.172 -1.592 5.609 Si
1.920 -8.967 6.251 Si
-1.068 -7.842 4.974 Si
-5.043 -3.104 6.535 Si
0.641 -5.921 7.205 Si
-2.055 -4.229 7.812 Si
-3.763 -6.150 5.581 Si
-2.255 -7.446 8.140 Si
-3.866 -3.496 3.397 Si
0.743 -8.574 9.389 Si
-0.950 -10.479 7.178 Si
-0.868 -4.624 4.647 Si
-4.636 -5.497 8.285 Pu
1.514 -6.574 4.502 Pu
-1.361 -2.118 2.866 Pu
-1.761 -9.953 9.920 Pu
-0.140 -8.238 7.202 Ru
-2.983 -3.832 5.585 Ru
-1.561 -6.035 6.393 Co
0.000 0.000 0.000 Co
```

***

No. 2
A relaxed structure of AcEuYSc. Source: Alexandria, functional PBE-GGA.

For the final energy, the calculation gives -26.51 eV/cell. For the total magnetic moment, the calculation gives 7.08 μB per formula unit. The crystal system is cubic.

```
AcEuYSc
1.0
-3.712 4.326 1.176
-3.593 -0.407 4.561
0.838 3.364 4.675
Ac Eu Sc Y
1 1 1 1
Cartesian
-3.234 3.642 5.206 Ac
0.000 0.000 0.000 Eu
-1.617 1.821 2.603 Sc
-4.850 5.463 7.808 Y
```

***

No. 3
A relaxed structure of CaGaTe2N. Source: Alexandria, functional PBE-GGA.

For the final energy, the calculation gives -16.32 eV/cell. For the offset from the most stable computed form, the calculation gives 709 meV/atom. The value obtained for the formation energy without anion corrections is 0.66 eV/atom. For the total magnetic moment, the calculation gives 0.00 μB per formula unit. The crystal system is tetragonal.

```
CaGaTe2N
1.0
-3.029 -3.581 3.676
4.579 -3.813 0.059
1.702 2.097 3.445
Ca Ga Te N
1 1 2 1
Cartesian
0.000 0.000 0.000 Ca
1.626 -2.649 3.590 Ga
2.290 -1.906 0.030 Te
-1.515 -1.791 1.838 Te
0.851 1.049 1.723 N
```